A plane-wave DFT calculation with GGA-PBE was carried out for LaBe2InPd5 after structural relaxation.

Properties
SG = No. 123

CIF file:
```
data_LaBe2InPd5
_space_group_name_H-M_alt 'P 1'
_space_group_IT_number 1
_cell_length_a 4.445
_cell_length_b 4.445
_cell_length_c 7.604
_cell_angle_alpha 90.00
_cell_angle_beta 90.00
_cell_angle_gamma 90.00
loop_
_space_group_symop_operation_xyz
'x,y,z'
loop_
_atom_site_label
_atom_site_fract_x
_atom_site_fract_y
_atom_site_fract_z
_atom_site_occupancy
La1 0.000 0.000 0.500 1
Be1 0.500 0.500 0.168 1
Be2 0.500 0.500 0.832 1
In1 0.000 0.000 0.000 1
Pd1 0.000 0.500 0.223 1
Pd2 0.500 0.000 0.223 1
Pd3 0.000 0.500 0.777 1
Pd4 0.500 0.000 0.777 1
Pd5 0.500 0.500 0.500 1
```


A plane-wave DFT calculation with GGA-PBE was carried out for Na2Tl5Pd2Pt after structural relaxation.

Properties
SG = No. 127

CIF file:
```
data_Na2Tl5Pd2Pt
_space_group_name_H-M_alt 'P 1'
_space_group_IT_number 1
_cell_length_a 3.781
_cell_length_b 11.239
_cell_length_c 11.239
_cell_angle_alpha 90.00
_cell_angle_beta 90.00
_cell_angle_gamma 90.00
loop_
_space_group_symop_operation_xyz
'x,y,z'
loop_
_atom_site_label
_atom_site_fract_x
_atom_site_fract_y
_atom_site_fract_z
_atom_site_occupancy
Na1 0.000 0.673 0.173 1
Na2 0.000 0.327 0.827 1
Na3 0.000 0.173 0.327 1
Na4 0.000 0.827 0.673 1
Tl1 0.500 0.189 0.070 1
Tl2 0.500 0.811 0.930 1
Tl3 0.500 0.070 0.811 1
Tl4 0.500 0.689 0.430 1
Tl5 0.500 0.930 0.189 1
Tl6 0.500 0.311 0.570 1
Tl7 0.500 0.570 0.689 1
Tl8 0.500 0.430 0.311 1
Tl9 0.500 0.500 0.000 1
Tl10 0.500 0.000 0.500 1
Pd1 0.000 0.129 0.629 1
Pd2 0.000 0.871 0.371 1
Pd3 0.000 0.629 0.871 1
Pd4 0.000 0.371 0.129 1
Pt1 0.000 0.000 0.000 1
Pt2 0.000 0.500 0.500 1
```


A plane-wave DFT calculation with GGA-PBE was carried out for Cs2Mg3UCl12 after structural relaxation.

Properties
SG = No. 166
E_form (uncorrected) = -1825 meV/atom

CIF file:
```
data_Cs2Mg3UCl12
_space_group_name_H-M_alt 'P 1'
_space_group_IT_number 1
_cell_length_a 9.773
_cell_length_b 9.773
_cell_length_c 9.773
_cell_angle_alpha 56.08
_cell_angle_beta 56.08
_cell_angle_gamma 56.08
loop_
_space_group_symop_operation_xyz
'x,y,z'
loop_
_atom_site_label
_atom_site_fract_x
_atom_site_fract_y
_atom_site_fract_z
_atom_site_occupancy
Cs1 0.590 0.590 0.590 1
Cs2 0.410 0.410 0.410 1
Mg1 0.500 0.000 0.000 1
Mg2 0.000 0.500 0.000 1
Mg3 0.000 0.000 0.500 1
U1 0.000 0.000 0.000 1
Cl1 0.317 0.317 0.920 1
Cl2 0.921 0.921 0.335 1
Cl3 0.335 0.921 0.921 1
Cl4 0.920 0.317 0.317 1
Cl5 0.921 0.335 0.921 1
Cl6 0.317 0.920 0.317 1
Cl7 0.683 0.683 0.080 1
Cl8 0.079 0.079 0.665 1
Cl9 0.665 0.079 0.079 1
Cl10 0.080 0.683 0.683 1
Cl11 0.079 0.665 0.079 1
Cl12 0.683 0.080 0.683 1
```


A plane-wave DFT calculation with GGA-PBE was carried out for NaPdAu2 after structural relaxation.

Properties
SG = No. 122

CIF file:
```
data_NaPdAu2
_space_group_name_H-M_alt 'P 1'
_space_group_IT_number 1
_cell_length_a 3.977
_cell_length_b 3.977
_cell_length_c 10.236
_cell_angle_alpha 78.80
_cell_angle_beta 78.80
_cell_angle_gamma 90.00
loop_
_space_group_symop_operation_xyz
'x,y,z'
loop_
_atom_site_label
_atom_site_fract_x
_atom_site_fract_y
_atom_site_fract_z
_atom_site_occupancy
Na1 0.500 0.500 0.000 1
Na2 0.250 0.750 0.500 1
Au1 0.630 0.125 0.250 1
Au2 0.120 0.625 0.250 1
Au3 0.375 0.370 0.750 1
Au4 0.875 0.880 0.750 1
Pd1 0.000 0.000 0.000 1
Pd2 0.750 0.250 0.500 1
```


A plane-wave DFT calculation with GGA-PBE was carried out for Na3TlRh after structural relaxation.

Properties
SG = No. 221

CIF file:
```
data_Na3TlRh
_space_group_name_H-M_alt 'P 1'
_space_group_IT_number 1
_cell_length_a 5.367
_cell_length_b 5.367
_cell_length_c 5.367
_cell_angle_alpha 90.00
_cell_angle_beta 90.00
_cell_angle_gamma 90.00
loop_
_space_group_symop_operation_xyz
'x,y,z'
loop_
_atom_site_label
_atom_site_fract_x
_atom_site_fract_y
_atom_site_fract_z
_atom_site_occupancy
Na1 0.000 0.500 0.000 1
Na2 0.000 0.000 0.500 1
Na3 0.500 0.000 0.000 1
Tl1 0.500 0.500 0.500 1
Rh1 0.000 0.000 0.000 1
```


A plane-wave DFT calculation with GGA-PBE was carried out for CsScNi2Ag after structural relaxation.

Properties
SG = No. 123

CIF file:
```
data_CsScNi2Ag
_space_group_name_H-M_alt 'P 1'
_space_group_IT_number 1
_cell_length_a 4.738
_cell_length_b 6.786
_cell_length_c 4.738
_cell_angle_alpha 90.00
_cell_angle_beta 90.00
_cell_angle_gamma 90.00
loop_
_space_group_symop_operation_xyz
'x,y,z'
loop_
_atom_site_label
_atom_site_fract_x
_atom_site_fract_y
_atom_site_fract_z
_atom_site_occupancy
Cs1 0.000 0.500 0.000 1
Ni1 0.000 0.000 0.500 1
Ni2 0.500 0.000 0.000 1
Sc1 0.000 0.000 0.000 1
Ag1 0.500 0.500 0.500 1
```


A plane-wave DFT calculation with GGA-PBE was carried out for Ac2Cu3Si4Au after structural relaxation.

Properties
SG = No. 115
E_form (uncorrected) = -491 meV/atom

CIF file:
```
data_Ac2Cu3Si4Au
_space_group_name_H-M_alt 'P 1'
_space_group_IT_number 1
_cell_length_a 4.321
_cell_length_b 4.321
_cell_length_c 10.166
_cell_angle_alpha 90.00
_cell_angle_beta 90.00
_cell_angle_gamma 90.00
loop_
_space_group_symop_operation_xyz
'x,y,z'
loop_
_atom_site_label
_atom_site_fract_x
_atom_site_fract_y
_atom_site_fract_z
_atom_site_occupancy
Ac1 0.500 0.000 0.243 1
Ac2 0.000 0.500 0.757 1
Cu1 0.000 0.000 0.500 1
Cu2 0.500 0.000 0.881 1
Cu3 0.000 0.500 0.119 1
Si1 0.500 0.500 0.000 1
Si2 0.000 0.000 0.000 1
Si3 0.500 0.000 0.635 1
Si4 0.000 0.500 0.365 1
Au1 0.500 0.500 0.500 1
```


A plane-wave DFT calculation with GGA-PBE was carried out for InRu2Br after structural relaxation.

Properties
SG = No. 99
E_form (uncorrected) = 332 meV/atom

CIF file:
```
data_InRu2Br
_space_group_name_H-M_alt 'P 1'
_space_group_IT_number 1
_cell_length_a 2.988
_cell_length_b 2.988
_cell_length_c 8.506
_cell_angle_alpha 90.00
_cell_angle_beta 90.00
_cell_angle_gamma 90.00
loop_
_space_group_symop_operation_xyz
'x,y,z'
loop_
_atom_site_label
_atom_site_fract_x
_atom_site_fract_y
_atom_site_fract_z
_atom_site_occupancy
Ru1 0.000 0.000 0.038 1
Ru2 0.500 0.500 0.222 1
Br1 0.000 0.000 0.438 1
In1 0.500 0.500 0.802 1
```


Number 1: final energy -45.738 eV/cell, N(E_F) 4.84 states/eV per cell. Number 2: final energy -63.841 eV/cell, N(E_F) 8.37 states/eV per cell. Number 3: final energy -72.792 eV/cell, N(E_F) 7.40 states/eV per cell. Number 4: final energy -25.862 eV/cell, N(E_F) 2.15 states/eV per cell. Number 5: final energy -11.425 eV/cell, N(E_F) 3.43 states/eV per cell. Number 6: final energy -16.110 eV/cell, N(E_F) 4.65 states/eV per cell. Number 7: final energy -50.384 eV/cell, N(E_F) 2.08 states/eV per cell. Number 8: final energy -21.635 eV/cell, N(E_F) 2.91 states/eV per cell.